[1]
HfCoGeW: optimized geometry, PBE.

It has space group F-43m (No. 216), with a = 6.271 Å, b = 6.271 Å, c = 6.271 Å, α = 90.00°, β = 90.00° and γ = 90.00°. Symmetry generates all atoms from Hf at (0.000, 0.000, 0.000), Co at (0.250, 0.250, 0.750), Ge at (0.000, 0.000, 0.500) and W at (0.250, 0.250, 0.250).

The value obtained for the size of the total moment is 3.6 μB per cell.

---

[2]
Au2S: optimized geometry, PBE.

It has space group P4_2/mnm (No. 136), with a = 6.210 Å, b = 6.210 Å, c = 3.385 Å, α = 90.00°, β = 90.00° and γ = 90.00°. Symmetry generates all atoms from Au at (0.222, 0.222, 0.000) and S at (0.000, 0.000, 0.500).

---

[3]
Ta2BIr: optimized geometry, PBE.

It has space group F-43m (No. 216), with a = 6.173 Å, b = 6.173 Å, c = 6.173 Å, α = 90.00°, β = 90.00° and γ = 90.00°. Symmetry generates all atoms from Ta at (0.000, 0.000, 0.000), Ta at (0.250, 0.250, 0.250), B at (0.000, 0.000, 0.500) and Ir at (0.250, 0.250, 0.750).

The value obtained for the size of the total moment is 0.1 μB per cell.

---

[4]
Pu6As5S: optimized geometry, PBE.

It has space group C2/m (No. 12), with a = 7.125 Å, b = 12.343 Å, c = 7.123 Å, α = 90.00°, β = 109.47° and γ = 90.00°. Symmetry generates all atoms from Pu at (0.245, 0.000, 0.252), Pu at (0.246, 0.164, 0.747), As at (0.000, 0.168, 0.000), As at (0.000, 0.334, 0.500), As at (0.000, 0.500, 0.000) and S at (0.000, 0.000, 0.500).

The value obtained for the size of the total moment is 61.9 μB per cell.

---

[5]
GdCoSn: optimized geometry, PBE.

It has space group P6_3/mmc (No. 194), with a = 5.0408 Å, b = 5.0408 Å, c = 6.0368 Å, α = 90.00°, β = 90.00° and γ = 120.00°. Symmetry generates all atoms from Gd at (0.3333, 0.6667, 0.2500), Co at (0.0000, 0.0000, 0.0000) and Sn at (0.3333, 0.6667, 0.7500).

The value obtained for the size of the total moment is 4.0 μB per cell.

---

[6]
BaCd2AgHg: optimized geometry, PBE.

It has space group I4mm (No. 107), with a = 4.681 Å, b = 4.681 Å, c = 12.942 Å, α = 90.00°, β = 90.00° and γ = 90.00°. Symmetry generates all atoms from Ba at (0.000, 0.000, 0.000), Cd at (0.000, 0.500, 0.244), Ag at (0.000, 0.000, 0.613) and Hg at (0.000, 0.000, 0.391).

---

[7]
Li2MgScGe2Pt2: optimized geometry, PBE.

It has space group P-4m2 (No. 115), with a = 4.444 Å, b = 4.444 Å, c = 6.293 Å, α = 90.00°, β = 90.00° and γ = 90.00°. Symmetry generates all atoms from Li at (0.000, 0.500, 0.247), Mg at (0.500, 0.500, 0.000), Sc at (0.000, 0.000, 0.500), Ge at (0.000, 0.000, 0.000), Ge at (0.500, 0.500, 0.500) and Pt at (0.000, 0.500, 0.749).

The value obtained for the size of the total moment is 0.0 μB per cell.

---

[8]
SbPIrO: optimized geometry, PBE.

It has space group Pmc2_1 (No. 26), with a = 3.193 Å, b = 6.037 Å, c = 7.071 Å, α = 90.00°, β = 90.00° and γ = 90.00°. Symmetry generates all atoms from Sb at (0.000, 0.039, 0.000), P at (0.500, 0.365, 0.835), Ir at (0.500, 0.321, 0.527) and O at (0.000, 0.180, 0.263).

The value obtained for the size of the total moment is 0.0 μB per cell.

---

[9]
Sc2Ir2O5: optimized geometry, PBE.

It has space group P4/mmm (No. 123), with a = 3.848 Å, b = 3.848 Å, c = 6.838 Å, α = 90.00°, β = 90.00° and γ = 90.00°. Symmetry generates all atoms from Sc at (0.000, 0.000, 0.000), Sc at (0.000, 0.000, 0.500), Ir at (0.500, 0.500, 0.192), O at (0.000, 0.500, 0.254) and O at (0.500, 0.500, 0.500).

The value obtained for the size of the total moment is 0.0 μB per cell.

---

[10]
Ta2Te5: optimized geometry, PBE.

It has space group C2/m (No. 12), with a = 13.485 Å, b = 3.508 Å, c = 10.019 Å, α = 90.00°, β = 124.63° and γ = 90.00°. Symmetry generates all atoms from Ta at (0.140, 0.000, 0.427), Te at (0.000, 0.500, 0.500), Te at (0.097, 0.000, 0.849) and Te at (0.179, 0.500, 0.243).

The value obtained for the size of the total moment is 0.0 μB per cell.

---

[11]
PmYCl2O2: optimized geometry, PBE.

It has space group P4mm (No. 99), with a = 3.956 Å, b = 3.956 Å, c = 6.749 Å, α = 90.00°, β = 90.00° and γ = 90.00°. Symmetry generates all atoms from Pm at (0.000, 0.000, 0.000), Y at (0.500, 0.500, 0.342), Cl at (0.000, 0.000, 0.547), Cl at (0.500, 0.500, 0.803) and O at (0.000, 0.500, 0.180).

The value obtained for the size of the total moment is 0.0 μB per cell.

---

[12]
TmSO3: optimized geometry, PBE.

It has space group Pnma (No. 62), with a = 6.475 Å, b = 7.742 Å, c = 5.256 Å, α = 90.00°, β = 90.00° and γ = 90.00°. Symmetry generates all atoms from Tm at (0.000, 0.000, 0.000), S at (0.043, 0.250, 0.422), O at (0.052, 0.250, 0.835) and O at (0.177, 0.083, 0.374).

The value obtained for the size of the total moment is 0.0 μB per cell.

---

[13]
Na5Au4: optimized geometry, PBE.

It has space group C2/m (No. 12), with a = 10.699 Å, b = 4.345 Å, c = 10.506 Å, α = 90.00°, β = 115.65° and γ = 90.00°. Symmetry generates all atoms from Na at (0.000, 0.000, 0.000), Na at (0.102, 0.000, 0.396), Na at (0.242, 0.500, 0.169), Au at (0.056, 0.500, 0.847) and Au at (0.126, 0.500, 0.620).

---

[14]
ZrCl: optimized geometry, PBE.

It has space group P6_3mc (No. 186), with a = 3.2735 Å, b = 3.2735 Å, c = 9.0397 Å, α = 90.00°, β = 90.00° and γ = 120.00°. Symmetry generates all atoms from Zr at (0.3333, 0.6667, 0.0000) and Cl at (0.3333, 0.6667, 0.7079).

The value obtained for the size of the total moment is 1.6 μB per cell.

---

[15]
CsLuSi: optimized geometry, PBE.

It has space group F-43m (No. 216), with a = 7.352 Å, b = 7.352 Å, c = 7.352 Å, α = 90.00°, β = 90.00° and γ = 90.00°. Symmetry generates all atoms from Cs at (0.000, 0.000, 0.000), Lu at (0.250, 0.250, 0.750) and Si at (0.250, 0.250, 0.250).

The value obtained for the size of the total moment is 0.0 μB per cell.

---

[16]
SrMgCoAs: optimized geometry, PBE.

It has space group F-43m (No. 216), with a = 6.705 Å, b = 6.705 Å, c = 6.705 Å, α = 90.00°, β = 90.00° and γ = 90.00°. Symmetry generates all atoms from Sr at (0.000, 0.000, 0.000), Mg at (0.250, 0.250, 0.750), Co at (0.250, 0.250, 0.250) and As at (0.000, 0.000, 0.500).

The value obtained for the size of the total moment is 0.2 μB per cell.

---

[17]
Pr2DyMg3CdGa2: optimized geometry, PBE.

It has space group Amm2 (No. 38), with a = 4.574 Å, b = 12.909 Å, c = 7.557 Å, α = 90.00°, β = 90.00° and γ = 90.00°. Symmetry generates all atoms from Pr at (0.000, 0.214, 0.000), Dy at (0.000, 0.000, 0.356), Mg at (0.500, 0.000, 0.031), Mg at (0.500, 0.124, 0.659), Cd at (0.000, 0.000, 0.776) and Ga at (0.500, 0.163, 0.287).

The value obtained for the size of the total moment is 0.0 μB per cell.

---

[18]
ErCo6Ge6: optimized geometry, PBE.

It has space group P6/mmm (No. 191), with a = 5.0808 Å, b = 5.0808 Å, c = 7.8347 Å, α = 90.00°, β = 90.00° and γ = 120.00°. Symmetry generates all atoms from Er at (0.0000, 0.0000, 0.0000), Co at (0.0000, 0.5000, 0.2502), Ge at (0.0000, 0.0000, 0.3441), Ge at (0.3333, 0.6667, 0.0000) and Ge at (0.3333, 0.6667, 0.5000).

The value obtained for the size of the total moment is 0.0 μB per cell.

---

[19]
Pm3As4Pd4: optimized geometry, PBE.

It has space group Immm (No. 71), with a = 4.285 Å, b = 7.127 Å, c = 14.231 Å, α = 90.00°, β = 90.00° and γ = 90.00°. Symmetry generates all atoms from Pm at (0.000, 0.000, 0.000), Pm at (0.000, 0.500, 0.130), As at (0.000, 0.000, 0.215), As at (0.000, 0.195, 0.500) and Pd at (0.000, 0.302, 0.329).

The value obtained for the size of the total moment is 0.0 μB per cell.

---

[20]
NaTaTe2AuSe: optimized geometry, PBE.

It has space group Cmcm (No. 63), with a = 3.863 Å, b = 14.977 Å, c = 10.302 Å, α = 90.00°, β = 90.00° and γ = 90.00°. Symmetry generates all atoms from Na at (0.000, 0.235, 0.250), Ta at (0.000, 0.000, 0.000), Te at (0.000, 0.360, 0.524), Au at (0.000, 0.450, 0.750) and Se at (0.000, 0.073, 0.750).

The value obtained for the size of the total moment is 2.6 μB per cell.

---

[21]
TbAlCuPd: optimized geometry, PBE.

It has space group P-6m2 (No. 187), with a = 4.3535 Å, b = 4.3535 Å, c = 9.0114 Å, α = 90.00°, β = 90.00° and γ = 120.00°. Symmetry generates all atoms from Tb at (0.0000, 0.0000, 0.0000), Tb at (0.3333, 0.6667, 0.5000), Al at (0.6667, 0.3333, 0.2522), Cu at (0.0000, 0.0000, 0.3284) and Pd at (0.3333, 0.6667, 0.1795).

The value obtained for the size of the total moment is 0.0 μB per cell.

---

[22]
RbCdB: optimized geometry, PBE.

It has space group F-43m (No. 216), with a = 7.056 Å, b = 7.056 Å, c = 7.056 Å, α = 90.00°, β = 90.00° and γ = 90.00°. Symmetry generates all atoms from Rb at (0.000, 0.000, 0.000), Cd at (0.000, 0.000, 0.500) and B at (0.250, 0.250, 0.750).

---

[23]
SmTlSnS3: optimized geometry, PBE.

It has space group Cmcm (No. 63), with a = 4.071 Å, b = 16.308 Å, c = 11.095 Å, α = 90.00°, β = 90.00° and γ = 90.00°. Symmetry generates all atoms from Sm at (0.000, 0.000, 0.000), Tl at (0.000, 0.311, 0.250), Sn at (0.000, 0.370, 0.750), S at (0.000, 0.024, 0.250) and S at (0.000, 0.383, 0.004).

The value obtained for the size of the total moment is 0.0 μB per cell.

---

Calculated final energy (eV per atom), listed in the same order as above: -8.5024; -3.2172; -9.3096; -10.5966; -5.2382; -1.6740; -4.8758; -6.0041; -7.4897; -5.6674; -7.1781; -6.6525; -2.4574; -5.9738; -2.3715; -3.5528; -3.2945; -6.1151; -5.9152; -4.6800; -4.9690; -1.5403; -4.9226